[1]
Tm12Tl6N | GGA-PBE | relaxed

Cell and atoms, written as POSCAR:
```
Tm12Tl6N
1.0
-1.9671 3.2903 -7.1375
-7.4414 0.6962 3.1275
2.7182 6.9287 3.2006
Tl Tm N
6 12 1
Cartesian
-3.8011 3.7147 -3.7777 Tl
-2.8892 7.2005 2.9683 Tl
-4.8903 3.5128 2.5027 Tl
-1.8000 7.4024 -3.3121 Tl
-6.9616 4.4053 -1.0657 Tl
0.2713 6.5099 0.2563 Tl
0.8602 8.7810 -2.0325 Tm
-4.2383 3.1359 -0.6586 Tm
-7.0425 3.7720 -4.2605 Tm
-2.0439 4.6462 1.5704 Tm
-5.2742 6.1374 1.0338 Tm
-5.0067 5.7020 4.9394 Tm
-1.6836 5.2133 -5.7488 Tm
-1.4161 4.7779 -1.8433 Tm
-7.5505 2.1342 1.2231 Tm
-4.6464 6.2691 -2.3798 Tm
0.3522 7.1433 3.4511 Tm
-2.4520 7.7794 -0.1508 Tm
0.0000 0.0000 0.0000 N
```

Summary:
- E_form (uncorrected): -5.83 eV/f.u.
- Total magnetic moment: 0.0 Bohr magnetons per cell

---

[2]
TmTlN | GGA-PBE | relaxed

Cell and atoms, written as POSCAR:
```
TmTlN
1.0
4.7821 0.0000 0.0000
0.0000 4.0140 0.0000
0.0000 0.0000 6.3483
Tl Tm N
2 2 2
Cartesian
2.3910 2.0070 0.2324 Tl
0.0000 0.0000 6.1159 Tl
2.3910 0.0000 3.7666 Tm
0.0000 2.0070 2.5817 Tm
0.0000 0.0000 3.6110 N
2.3910 2.0070 2.7374 N
```

Summary:
- E_form (uncorrected): -2.54 eV/f.u.
- Total magnetic moment: 0.0 Bohr magnetons per cell

---

[3]
Tm7Tl4N | GGA-PBE | relaxed

Cell and atoms, written as POSCAR:
```
Tm7Tl4N
1.0
-0.8127 -3.0886 3.6043
7.4918 -4.7412 0.8434
3.6415 3.4684 7.0103
Tl N Tm
4 1 7
Cartesian
2.8475 -2.3349 1.8583 Tl
6.9885 -3.7245 4.8183 Tl
3.3323 -0.6369 6.6398 Tl
7.4732 -2.0265 9.5997 Tl
0.0000 0.0000 0.0000 N
6.3340 -1.3083 6.7412 Tm
3.9868 -3.0531 4.7168 Tm
-0.4063 -1.5443 1.8021 Tm
6.1604 -3.3012 1.7772 Tm
2.4118 0.0471 3.8012 Tm
4.1604 -1.0601 9.6808 Tm
7.9089 -4.4084 7.6568 Tm
```

Summary:
- E_form (uncorrected): -3.44 eV/f.u.
- Total magnetic moment: 0.0 Bohr magnetons per cell

---

[4]
YTm2TlN | GGA-PBE | relaxed

Cell and atoms, written as POSCAR:
```
YTm2TlN
1.0
-3.3204 0.7754 -3.4138
-3.3724 -1.6199 2.9122
-0.6781 4.3902 1.6567
N Tl Y Tm
1 1 1 2
Cartesian
0.0000 0.0000 0.0000 N
-3.6854 1.7728 0.5776 Tl
-1.6602 0.3877 -1.7069 Y
-0.3391 2.1951 0.8283 Tm
-1.6862 -0.8099 1.4561 Tm
```

Summary:
- E_form (uncorrected): -4.78 eV/f.u.
- Total magnetic moment: 0.0 Bohr magnetons per cell

---

[5]
U5Tl3N12 | GGA-PBE | relaxed

Cell and atoms, written as POSCAR:
```
U5Tl3N12
1.0
12.3418 0.0000 0.0000
-4.1139 11.6359 0.0000
-4.1139 -5.8180 10.0770
U N Tl
20 48 12
Cartesian
-4.1139 2.9090 5.0385 U
-1.0285 2.9090 2.5193 U
4.1139 -2.9090 5.0385 U
5.1424 2.9090 7.5578 U
-2.0570 5.8180 0.0000 U
1.0285 -2.9090 7.5578 U
-1.0285 0.7272 6.2981 U
4.1139 5.8180 0.0000 U
6.1709 0.0000 0.0000 U
3.0854 8.7270 2.5193 U
0.0000 0.0000 0.0000 U
1.0285 3.6362 8.8174 U
-2.0570 -2.9090 5.0385 U
3.0854 2.1817 1.2596 U
2.0570 2.9090 5.0385 U
7.1994 -0.7272 6.2981 U
-1.0285 9.4542 1.2596 U
5.1424 5.0907 3.7789 U
-3.0854 6.5452 3.7789 U
5.1424 -3.6362 8.8174 U
8.4738 -2.3183 6.0937 N
-0.8702 7.4685 0.7806 N
2.3029 -2.2905 6.0776 N
-0.8964 4.3074 9.0218 N
4.9841 1.5013 9.0379 N
5.6346 6.6164 5.0546 N
-4.9841 -0.1492 8.2573 N
6.4168 3.4996 3.9833 N
-0.5363 1.0413 1.8358 N
5.0103 8.8855 3.2027 N
4.6502 4.7766 8.2412 N
7.0673 -4.3074 9.0218 N
-2.9534 10.1254 1.0552 N
-2.5933 6.8593 8.2412 N
5.0103 1.5106 1.0552 N
-2.3029 -4.6088 10.0609 N
-3.5776 5.0195 5.0546 N
0.5363 7.6578 6.8582 N
2.9271 7.3193 1.0391 N
-1.5206 -0.7985 5.0224 N
4.9841 -1.6505 9.2964 N
-3.8680 4.6088 10.0609 N
0.2459 3.5275 3.9994 N
1.1868 -1.5013 9.0379 N
2.9271 4.1674 0.7806 N
5.3007 5.6687 1.8197 N
1.8110 8.1085 3.9994 N
3.8680 2.2905 6.0776 N
-1.1868 0.1492 8.2573 N
-5.2745 3.0675 6.8743 N
-2.3029 2.3183 6.0937 N
6.4168 10.4268 0.0161 N
9.3884 2.7505 3.2027 N
3.2175 4.5781 4.2579 N
5.2745 -1.2399 5.8191 N
3.5776 -1.8398 3.2188 N
6.7072 -1.0413 1.8358 N
7.6916 0.7985 5.0224 N
9.0980 5.9672 1.8197 N
-4.3599 8.1363 3.9833 N
-1.1605 7.0578 4.2579 N
0.8964 1.2399 5.8191 N
7.9819 1.2091 0.0161 N
-0.8702 4.3167 1.0391 N
2.5933 1.8398 3.2188 N
1.5206 3.9782 6.8582 N
1.1868 1.6505 9.2964 N
-0.8964 -3.0675 6.8743 N
-3.0854 -2.1817 8.8174 Tl
1.0285 -0.7272 3.7789 Tl
-5.1424 5.8180 7.5578 Tl
1.0285 5.8180 2.5193 Tl
3.0854 0.0000 7.5578 Tl
9.2563 0.0000 2.5193 Tl
7.1994 7.9997 1.2596 Tl
-1.0285 5.0907 6.2981 Tl
7.1994 3.6362 1.2596 Tl
3.0854 6.5452 6.2981 Tl
5.1424 0.7272 3.7789 Tl
-3.0854 2.1817 8.8174 Tl
```

Summary:
- E_form (uncorrected): -6.18 eV/f.u.
- Total magnetic moment: 0.0 Bohr magnetons per cell

---

[6]
Tl2VN | GGA-PBE | relaxed

Cell and atoms, written as POSCAR:
```
Tl2VN
1.0
-1.3285 7.3239 0.6590
-4.6574 -0.3198 -5.8348
-5.0952 2.9670 -0.8805
Tl N V
4 2 2
Cartesian
-4.4407 1.9535 -3.7398 Tl
-6.3816 4.8301 -2.9966 Tl
-8.7435 8.3755 -4.7939 Tl
-2.5963 4.7830 -0.5823 Tl
-6.3728 3.0746 -4.6516 N
-2.9929 3.5020 -2.5879 N
-4.7083 6.8965 -1.4047 V
0.0000 0.0000 0.0000 V
```

Summary:
- E_form (uncorrected): 4.06 eV/f.u.
- Total magnetic moment: 6.6 Bohr magnetons per cell

---

[7]
TlVN2 | GGA-PBE | relaxed

Cell and atoms, written as POSCAR:
```
TlVN2
1.0
1.9863 0.0000 6.2039
-0.9932 1.7202 6.2039
-0.9932 -1.7202 6.2039
Tl N V
1 2 1
Cartesian
0.0000 0.0000 9.3058 Tl
0.0000 0.0000 16.7989 N
0.0000 0.0000 1.8127 N
0.0000 0.0000 0.0000 V
```

Summary:
- E_form (uncorrected): 3.79 eV/f.u.
- Total magnetic moment: 1.0 Bohr magnetons per cell

---

[8]
TlVN2 | GGA-PBE | relaxed

Cell and atoms, written as POSCAR:
```
TlVN2
1.0
-1.6136 -3.3297 4.3567
0.2376 -4.5796 -3.4120
3.2957 -4.5234 1.5131
N Tl V
4 2 2
Cartesian
1.9986 -7.1854 0.8731 N
0.4794 -5.0105 -0.4231 N
0.1364 -3.1832 1.8882 N
1.2248 -9.4864 2.5775 N
0.4970 -5.9039 3.1711 Tl
0.0000 0.0000 0.0000 Tl
1.4226 -6.5289 -0.7133 V
-0.6880 -3.9546 0.4723 V
```

Summary:
- E_form (uncorrected): -1.39 eV/f.u.
- Total magnetic moment: 0.0 Bohr magnetons per cell

---

[9]
Tl2VN | GGA-PBE | relaxed

Cell and atoms, written as POSCAR:
```
Tl2VN
1.0
0.0000 3.3820 3.3820
3.3820 0.0000 3.3820
3.3820 3.3820 0.0000
Tl V N
2 1 1
Cartesian
1.6910 1.6910 1.6910 Tl
5.0729 5.0729 5.0729 Tl
3.3820 3.3820 3.3820 V
0.0000 0.0000 0.0000 N
```

Summary:
- E_form (uncorrected): 5.57 eV/f.u.
- Total magnetic moment: 3.1 Bohr magnetons per cell

---

[10]
TlVN2 | GGA-PBE | relaxed

Cell and atoms, written as POSCAR:
```
TlVN2
1.0
1.9416 -3.5450 0.2159
2.1147 -0.9504 3.3178
-1.3397 -2.8926 2.4943
N Tl V
2 1 1
Cartesian
0.6792 -1.8470 1.5070 N
2.0375 -5.5410 4.5210 N
1.3583 -3.6940 3.0140 Tl
0.0000 0.0000 0.0000 V
```

Summary:
- E_form (uncorrected): 4.72 eV/f.u.
- Total magnetic moment: 2.1 Bohr magnetons per cell

---

[11]
TlVN2 | GGA-PBE | relaxed

Cell and atoms, written as POSCAR:
```
TlVN2
1.0
1.7223 0.0000 6.9842
-0.8612 1.4916 6.9842
-0.8612 -1.4916 6.9842
N V Tl
2 1 1
Cartesian
0.0000 0.0000 2.4619 N
0.0000 0.0000 18.4907 N
0.0000 0.0000 10.4763 V
0.0000 0.0000 0.0000 Tl
```

Summary:
- E_form (uncorrected): -0.17 eV/f.u.
- Total magnetic moment: 0.0 Bohr magnetons per cell

---

[12]
Zr2TlVN | GGA-PBE | relaxed

Cell and atoms, written as POSCAR:
```
Zr2TlVN
1.0
-4.6265 0.3947 0.4229
-0.4244 -4.6322 -0.3190
0.3290 -0.2971 3.8765
V Tl N Zr
1 1 1 2
Cartesian
0.1645 -0.1485 1.9382 V
-2.3609 -2.2673 1.9902 Tl
0.0000 0.0000 0.0000 N
-0.2122 -2.3161 -0.1595 Zr
-2.3132 0.1974 0.2115 Zr
```

Summary:
- E_form (uncorrected): -3.16 eV/f.u.
- Total magnetic moment: 0.0 Bohr magnetons per cell

---

[13]
TlW2N | GGA-PBE | relaxed

Cell and atoms, written as POSCAR:
```
TlW2N
1.0
5.2066 0.0000 0.0000
0.0000 5.2066 0.0000
2.6033 2.6033 5.7309
Tl N W
2 2 4
Cartesian
0.0000 0.0000 0.0000 Tl
5.2066 2.6033 2.8655 Tl
2.6033 2.6033 0.0000 N
2.6033 5.2066 2.8655 N
6.5083 5.6535 4.2982 W
2.1564 3.9050 1.4327 W
3.9050 4.7597 4.2982 W
3.0502 1.3017 1.4327 W
```

Summary:
- E_form (uncorrected): 3.72 eV/f.u.
- Total magnetic moment: 0.0 Bohr magnetons per cell

---

[14]
TlW2N | GGA-PBE | relaxed

Cell and atoms, written as POSCAR:
```
TlW2N
1.0
3.9607 1.8793 -0.5599
0.9817 3.7567 2.1109
2.9425 -0.0221 3.2975
W N Tl
2 1 1
Cartesian
1.9712 1.4035 1.2121 W
5.9136 4.2104 3.6364 W
0.0000 0.0000 0.0000 N
3.9424 2.8069 2.4243 Tl
```

Summary:
- E_form (uncorrected): 7.31 eV/f.u.
- Total magnetic moment: 0.0 Bohr magnetons per cell

---

[15]
Tl2WN | GGA-PBE | relaxed

Cell and atoms, written as POSCAR:
```
Tl2WN
1.0
-2.8855 1.6762 3.4167
-4.3445 1.6299 -1.1307
-3.8835 -2.4723 1.2711
W Tl N
1 2 1
Cartesian
-5.5568 0.4169 1.7786 W
-2.7784 0.2084 0.8893 Tl
-8.3351 0.6253 2.6679 Tl
0.0000 0.0000 0.0000 N
```

Summary:
- E_form (uncorrected): 8.18 eV/f.u.
- Total magnetic moment: 1.0 Bohr magnetons per cell

---

[16]
TlW3N | GGA-PBE | relaxed

Cell and atoms, written as POSCAR:
```
TlW3N
1.0
4.2196 0.0000 0.0000
0.0000 4.2196 0.0000
0.0000 0.0000 4.2196
Tl W N
1 3 1
Cartesian
2.1098 2.1098 2.1098 Tl
2.1098 0.0000 0.0000 W
0.0000 2.1098 0.0000 W
0.0000 0.0000 2.1098 W
0.0000 0.0000 0.0000 N
```

Summary:
- E_form (uncorrected): 2.42 eV/f.u.
- Total magnetic moment: 0.0 Bohr magnetons per cell

---

[17]
TlW3N | GGA-PBE | relaxed

Cell and atoms, written as POSCAR:
```
TlW3N
1.0
-4.8943 -0.1487 0.8478
-0.2684 -4.3872 -2.3187
0.8178 -2.3294 4.3128
W N Tl
3 1 1
Cartesian
-2.4472 -0.0743 0.4239 W
-0.1342 -2.1936 -1.1593 W
0.4089 -1.1647 2.1564 W
-2.1724 -3.4326 1.4210 N
0.0000 0.0000 0.0000 Tl
```

Summary:
- E_form (uncorrected): 22.55 eV/f.u.
- Total magnetic moment: 0.0 Bohr magnetons per cell

---

[18]
Tl3WN | GGA-PBE | relaxed

Cell and atoms, written as POSCAR:
```
Tl3WN
1.0
-5.2335 0.8514 -1.1583
-1.4274 -2.5586 4.5686
0.1707 4.7100 2.6911
Tl N W
3 1 1
Cartesian
-0.7137 -1.2793 2.2843 Tl
0.0853 2.3550 1.3456 Tl
-2.6167 0.4257 -0.5791 Tl
-3.2451 1.5014 3.0507 N
0.0000 0.0000 0.0000 W
```

Summary:
- E_form (uncorrected): 8.47 eV/f.u.
- Total magnetic moment: 3.4 Bohr magnetons per cell

---

[19]
Tl2WN | GGA-PBE | relaxed

Cell and atoms, written as POSCAR:
```
Tl2WN
1.0
-4.6507 5.0906 1.3733
-2.8364 -0.8719 -6.3737
-5.6469 0.0666 -1.3737
W Tl N
2 4 2
Cartesian
-7.0206 3.6332 -1.2503 W
0.0000 0.0000 0.0000 W
-4.4064 2.7975 -0.3606 Tl
-7.2054 1.5820 -3.2708 Tl
-10.6238 3.7913 -5.0403 Tl
-4.0324 0.3998 -4.0766 Tl
-6.1134 0.6520 -5.1238 N
-3.7435 2.1093 -2.5002 N
```

Summary:
- E_form (uncorrected): 6.67 eV/f.u.
- Total magnetic moment: 1.7 Bohr magnetons per cell

---

[20]
Tl3WN | GGA-PBE | relaxed

Cell and atoms, written as POSCAR:
```
Tl3WN
1.0
-4.2892 -1.5748 1.2573
-1.2426 -0.2610 -4.5658
1.5865 -4.4621 -0.1766
N Tl W
1 3 1
Cartesian
0.0000 0.0000 0.0000 N
-0.6213 -0.1305 -2.2829 Tl
-2.1446 -0.7874 0.6287 Tl
0.7932 -2.2310 -0.0883 Tl
-1.9727 -3.1490 -1.7425 W
```

Summary:
- E_form (uncorrected): 8.47 eV/f.u.
- Total magnetic moment: 0.0 Bohr magnetons per cell